The following is a DFT calculation (GGA-PBE) of a relaxed Sr2Sb5Pd3 crystal.

Geometry as POSCAR:
```
Sr2Sb5Pd3
1.0
2.351 -13.490 0.000
2.351 13.490 0.000
0.000 0.000 7.783
Sr Sb Pd
4 10 6
direct
0.022 0.978 0.500
0.328 0.672 0.511
0.672 0.328 0.011
0.978 0.022 0.000
0.098 0.902 0.859
0.205 0.795 0.313
0.212 0.788 0.729
0.381 0.619 0.988
0.452 0.548 0.675
0.548 0.452 0.175
0.619 0.381 0.488
0.788 0.212 0.229
0.795 0.205 0.813
0.902 0.098 0.359
0.106 0.894 0.225
0.274 0.726 0.027
0.447 0.553 0.290
0.553 0.447 0.790
0.726 0.274 0.527
0.894 0.106 0.725
```

Properties
symmetry = Cmc2_1, No. 36
mass density = 7.4 g cm⁻³
energy relative to the lowest polymorph listed for this composition = 27 meV/atom
formation energy from raw total energies = -0.608 eV per atom